[1]
VASP calculation (PBE) on an optimized crystal structure of Sm6C3S2Br.

DOS(E_F) in states/eV/atom: 0.22
Mass density in g/cm3: 7.07
ΔE_f (raw) in kJ per mole of atoms: -105
Final energy in eV per atom: -6.58

The structure in CIF format:
```
data_Sm6C3S2Br
_cell_length_a 17.346
_cell_length_b 3.821
_cell_length_c 8.026
_cell_angle_alpha 90.00
_cell_angle_beta 107.18
_cell_angle_gamma 90.00
_symmetry_space_group_name_H-M 'C 1 2/m 1'
_symmetry_Int_Tables_number 12
loop_
_symmetry_equiv_pos_as_xyz
'x,y,z'
'-x,-y,-z'
'-x,y,-z'
'x,-y,z'
'x+1/2,y+1/2,z'
'-x+1/2,-y+1/2,-z'
'-x+1/2,y+1/2,-z'
'x+1/2,-y+1/2,z'
loop_
_atom_site_label
_atom_site_fract_x
_atom_site_fract_y
_atom_site_fract_z
Sm1 0.011 0.000 0.215
Sm2 0.161 0.500 0.101
Sm3 0.180 0.500 0.564
C1 0.000 0.500 0.000
C2 0.167 0.000 0.332
S1 0.164 0.000 0.828
Br1 0.000 0.500 0.500
```

---

[2]
VASP calculation (PBE) on an optimized crystal structure of Ce2Al5Ga2.

Calculated formation energy in meV per atom: -383.6
DOS(E_F) in states/eV/atom: 1.18
Mass density in g/cm3: 5.10
Final energy in eV per atom: -4.45

The structure in CIF format:
```
data_Ce2Al5Ga2
_cell_length_a 4.240
_cell_length_b 4.240
_cell_length_c 10.046
_cell_angle_alpha 90.00
_cell_angle_beta 90.00
_cell_angle_gamma 90.00
_symmetry_space_group_name_H-M 'P 4/m m m'
_symmetry_Int_Tables_number 123
_symmetry_space_group_name_Hall '-P 4 2'
loop_
_atom_site_label
_atom_site_fract_x
_atom_site_fract_y
_atom_site_fract_z
Ce1 0.000 0.000 0.000
Ce2 0.000 0.000 0.500
Al1 0.000 0.500 0.225
Al2 0.500 0.500 0.000
Ga1 0.500 0.500 0.380
```

---

[3]
VASP calculation (PBE) on an optimized crystal structure of ThGaIr.

Calculated formation energy in meV per atom: -842.2
DOS(E_F) in states/eV/atom: 0.48
Mass density in g/cm3: 12.84
Final energy in eV per atom: -7.28

The structure in CIF format:
```
data_ThGaIr
_cell_length_a 13.251
_cell_length_b 3.939
_cell_length_c 7.341
_cell_angle_alpha 90.00
_cell_angle_beta 90.00
_cell_angle_gamma 90.00
_symmetry_space_group_name_H-M 'P m m a'
_symmetry_Int_Tables_number 51
loop_
_symmetry_equiv_pos_as_xyz
'x,y,z'
'-x,-y,-z'
'-x+1/2,-y,z'
'x+1/2,y,-z'
'x+1/2,-y,-z'
'-x+1/2,y,z'
'-x,y,-z'
'x,-y,z'
loop_
_atom_site_label
_atom_site_fract_x
_atom_site_fract_y
_atom_site_fract_z
Th1 0.045 0.000 0.244
Th2 0.250 0.000 0.862
Ga1 0.129 0.500 0.570
Ga2 0.250 0.500 0.210
Ir1 0.102 0.500 0.936
Ir2 0.250 0.000 0.446
```

---

[4]
VASP calculation (PBE) on an optimized crystal structure of BaAl2Br.

Energy above the lowest structure with this stoichiometry in eV per atom: 0.000
DOS(E_F) in states/eV/atom: 0.69
Mass density in g/cm3: 3.34
ΔE_f (raw) in kJ per mole of atoms: -51
Final energy in eV per atom: -3.30

The structure in CIF format:
```
data_BaAl2Br
_cell_length_a 8.086
_cell_length_b 4.673
_cell_length_c 7.138
_cell_angle_alpha 90.00
_cell_angle_beta 90.37
_cell_angle_gamma 90.00
_symmetry_space_group_name_H-M 'C 1 m 1'
_symmetry_Int_Tables_number 8
loop_
_symmetry_equiv_pos_as_xyz
'x,y,z'
'x,-y,z'
'x+1/2,y+1/2,z'
'x+1/2,-y+1/2,z'
loop_
_atom_site_label
_atom_site_fract_x
_atom_site_fract_y
_atom_site_fract_z
Ba1 0.000 0.000 0.000
Al1 0.169 0.500 0.301
Al2 0.335 0.000 0.330
Br1 0.332 0.000 0.721
```

---

[5]
VASP calculation (PBE) on an optimized crystal structure of Li2GaAg.

Calculated formation energy in meV per atom: -67.7
DOS(E_F) in states/eV/atom: 0.20
Mass density in g/cm3: 4.59
Final energy in eV per atom: -2.49

The structure in CIF format:
```
data_Li2GaAg
_cell_length_a 7.265
_cell_length_b 7.265
_cell_length_c 5.249
_cell_angle_alpha 90.00
_cell_angle_beta 90.00
_cell_angle_gamma 90.00
_symmetry_space_group_name_H-M 'I -4 2 d'
_symmetry_Int_Tables_number 122
_symmetry_space_group_name_Hall 'I -4 2bw'
loop_
_atom_site_label
_atom_site_fract_x
_atom_site_fract_y
_atom_site_fract_z
Li1 0.247 0.250 0.125
Ga1 0.000 0.000 0.500
Ag1 0.000 0.000 0.000
```

---

[6]
VASP calculation (PBE) on an optimized crystal structure of AcTbI.

Energy above the lowest structure with this stoichiometry in eV per atom: 0.000
DOS(E_F) in states/eV/atom: 1.47
Mass density in g/cm3: 7.79
ΔE_f (raw) in kJ per mole of atoms: -44
Final energy in eV per atom: -3.88

The structure in CIF format:
```
data_AcTbI
_cell_length_a 3.851
_cell_length_b 3.851
_cell_length_c 14.738
_cell_angle_alpha 90.00
_cell_angle_beta 90.00
_cell_angle_gamma 90.00
_symmetry_space_group_name_H-M 'I 4 m m'
_symmetry_Int_Tables_number 107
_symmetry_space_group_name_Hall 'I 4 -2'
loop_
_atom_site_label
_atom_site_fract_x
_atom_site_fract_y
_atom_site_fract_z
Ac1 0.000 0.000 0.000
Tb1 0.000 0.000 0.674
I1 0.000 0.000 0.315
```

---

Question: Which of these has the highest mass density?
Answer: ThGaIr